Entry 1:
Fe2AgHPt, optimized geometry, DFT PBE-GGA; spin magnetization = 1.19 μB/atom; excess energy over the best structure of this formula in the dataset = 0.052 eV/atom; calculated total energy = -5.670 eV/atom; density of states at the Fermi level = 3.755 states/eV per cell
1.0
3.8506 0.0000 0.0000
0.0000 3.8506 0.0000
0.0000 0.0000 4.0487
Fe Ag H Pt
2 1 1 1
direct
0.0000 0.5000 0.0000 Fe
0.5000 0.0000 0.0000 Fe
0.0000 0.0000 0.5000 Ag
0.0000 0.0000 0.0000 H
0.5000 0.5000 0.5000 Pt


Entry 2:
FeAgHRh2, optimized geometry, DFT PBE-GGA; spin magnetization = 0.90 μB/atom; calculated total energy = -5.736 eV/atom; density of states at the Fermi level = 4.432 states/eV per cell
1.0
3.9537 0.0000 0.0000
0.0000 3.9537 0.0000
0.0000 0.0000 3.9139
Fe Ag H Rh
1 1 1 2
direct
0.0000 0.0000 0.0000 Fe
0.5000 0.5000 0.0000 Ag
0.0000 0.0000 0.5000 H
0.0000 0.5000 0.5000 Rh
0.5000 0.0000 0.5000 Rh


Entry 3:
FeAgSbH2, optimized geometry, DFT PBE-GGA; spin magnetization = 0.58 μB/atom; calculated total energy = -3.815 eV/atom; density of states at the Fermi level = 4.262 states/eV per cell
1.0
3.6543 0.0000 0.0000
0.0000 3.6543 0.0000
0.0000 0.0000 6.0552
Fe Ag Sb H
1 1 1 2
direct
0.0000 0.0000 0.0000 Fe
0.5000 0.5000 0.5000 Ag
0.5000 0.5000 0.0000 Sb
0.0000 0.5000 0.5000 H
0.5000 0.0000 0.5000 H


Entry 4:
SrFe2AgH, optimized geometry, DFT PBE-GGA; spin magnetization = 1.26 μB/atom; calculated total energy = -3.731 eV/atom; density of states at the Fermi level = 6.662 states/eV per cell
1.0
4.7928 0.0000 0.0000
0.0000 4.7928 0.0000
0.0000 0.0000 6.0901
Sr Fe Ag H
1 2 1 1
direct
0.0000 0.0000 0.0000 Sr
0.0000 0.5000 0.5000 Fe
0.5000 0.0000 0.5000 Fe
0.0000 0.0000 0.5000 Ag
0.5000 0.5000 0.0000 H


Entry 5:
FeAgTeH2, optimized geometry, DFT PBE-GGA; spin magnetization = 0.69 μB/atom; calculated total energy = -3.417 eV/atom; density of states at the Fermi level = 3.747 states/eV per cell
1.0
3.8522 0.0000 0.0000
0.0000 3.8522 0.0000
0.0000 0.0000 5.8468
Fe Ag Te H
1 1 1 2
direct
0.0000 0.0000 0.0000 Fe
0.5000 0.5000 0.0000 Ag
0.5000 0.5000 0.5000 Te
0.0000 0.5000 0.5000 H
0.5000 0.0000 0.5000 H


Entry 6:
Fe2AgTeH, optimized geometry, DFT PBE-GGA; spin magnetization = 1.05 μB/atom; calculated total energy = -4.832 eV/atom; density of states at the Fermi level = 4.668 states/eV per cell
1.0
4.0133 0.0000 0.0000
0.0000 4.0133 0.0000
0.0000 0.0000 4.2620
Fe Ag Te H
2 1 1 1
direct
0.0000 0.5000 0.0000 Fe
0.5000 0.0000 0.0000 Fe
0.0000 0.0000 0.5000 Ag
0.5000 0.5000 0.5000 Te
0.0000 0.0000 0.0000 H


Entry 7:
Zn2FeAgH, optimized geometry, DFT PBE-GGA; spin magnetization = 0.66 μB/atom; excess energy over the best structure of this formula in the dataset = 0.982 eV/atom; calculated total energy = -2.308 eV/atom; density of states at the Fermi level = 3.750 states/eV per cell
1.0
4.7352 0.0000 0.0000
0.0000 4.7352 0.0000
0.0000 0.0000 4.9591
Zn Fe Ag H
2 1 1 1
direct
0.0000 0.5000 0.0000 Zn
0.5000 0.0000 0.0000 Zn
0.0000 0.0000 0.0000 Fe
0.0000 0.0000 0.5000 Ag
0.5000 0.5000 0.5000 H


Entry 8:
Zn2FeAgH, optimized geometry, DFT PBE-GGA; spin magnetization = 0.47 μB/atom; excess energy over the best structure of this formula in the dataset = 0.000 eV/atom; calculated total energy = -3.290 eV/atom; density of states at the Fermi level = 1.920 states/eV per cell
1.0
4.1905 0.0000 0.0000
0.0000 4.1905 0.0000
0.0000 0.0000 3.4470
Zn Fe Ag H
2 1 1 1
direct
0.0000 0.5000 0.0000 Zn
0.5000 0.0000 0.0000 Zn
0.0000 0.0000 0.5000 Fe
0.5000 0.5000 0.5000 Ag
0.0000 0.0000 0.0000 H


Entry 9:
Zr2FeAgH, optimized geometry, DFT PBE-GGA; spin magnetization = 0.24 μB/atom; calculated total energy = -6.453 eV/atom; density of states at the Fermi level = 4.766 states/eV per cell
1.0
4.6139 0.0000 0.0000
0.0000 4.6139 0.0000
0.0000 0.0000 3.5639
Zr Fe Ag H
2 1 1 1
direct
0.0000 0.5000 0.0000 Zr
0.5000 0.0000 0.0000 Zr
0.0000 0.0000 0.5000 Fe
0.5000 0.5000 0.5000 Ag
0.0000 0.0000 0.0000 H


Entry 10:
HfFe4Ag, optimized geometry, DFT PBE-GGA; ΔE_f = -0.055 eV per atom; spin magnetization = 1.38 μB/atom; calculated total energy = -7.831 eV/atom; density of states at the Fermi level = 5.570 states/eV per cell
1.0
0.0000 3.4699 3.4699
3.4699 0.0000 3.4699
3.4699 3.4699 0.0000
Hf Fe Ag
1 4 1
direct
0.0000 0.0000 0.0000 Hf
0.3743 0.3743 0.3743 Fe
0.3743 0.3743 0.8771 Fe
0.3743 0.8771 0.3743 Fe
0.8771 0.3743 0.3743 Fe
0.7500 0.7500 0.7500 Ag


Entry 11:
Hf4FeAg, optimized geometry, DFT PBE-GGA; ΔE_f = 0.181 eV per atom; spin magnetization = 0.00 μB/atom; calculated total energy = -8.340 eV/atom; density of states at the Fermi level = 8.630 states/eV per cell
1.0
13.5565 0.0000 0.0000
0.0000 3.0560 0.0000
-2.1874 0.0000 5.8960
Hf Fe Ag
8 2 2
direct
0.1490 0.0000 0.2834 Hf
0.1537 0.5000 0.8576 Hf
0.3463 0.0000 0.1424 Hf
0.3510 0.5000 0.7166 Hf
0.6490 0.5000 0.2834 Hf
0.6537 0.0000 0.8576 Hf
0.8463 0.5000 0.1424 Hf
0.8510 0.0000 0.7166 Hf
0.0000 0.5000 0.0000 Fe
0.5000 0.0000 0.0000 Fe
0.0000 0.0000 0.5000 Ag
0.5000 0.5000 0.5000 Ag


Entry 12:
HfFeAg2, optimized geometry, DFT PBE-GGA; ΔE_f = 0.471 eV per atom; spin magnetization = 0.01 μB/atom; excess energy over the best structure of this formula in the dataset = 0.038 eV/atom; calculated total energy = -5.559 eV/atom; density of states at the Fermi level = 37.337 states/eV per cell
1.0
6.4648 0.0000 0.0000
0.0000 6.4648 0.0000
0.0000 0.0000 6.4648
Hf Fe Ag
4 4 8
direct
0.0000 0.0000 0.0000 Hf
0.0000 0.5000 0.5000 Hf
0.5000 0.0000 0.5000 Hf
0.5000 0.5000 0.0000 Hf
0.0000 0.0000 0.5000 Fe
0.0000 0.5000 0.0000 Fe
0.5000 0.0000 0.0000 Fe
0.5000 0.5000 0.5000 Fe
0.2500 0.2500 0.2500 Ag
0.2500 0.2500 0.7500 Ag
0.2500 0.7500 0.2500 Ag
0.2500 0.7500 0.7500 Ag
0.7500 0.2500 0.2500 Ag
0.7500 0.2500 0.7500 Ag
0.7500 0.7500 0.2500 Ag
0.7500 0.7500 0.7500 Ag


Entry 13:
HfFeAg3, optimized geometry, DFT PBE-GGA; ΔE_f = 1.645 eV per atom; spin magnetization = 0.69 μB/atom; excess energy over the best structure of this formula in the dataset = 0.623 eV/atom; calculated total energy = -3.749 eV/atom; density of states at the Fermi level = 10.920 states/eV per cell
1.0
5.1654 0.0000 0.0000
0.0000 5.1654 0.0000
0.0000 0.0000 5.1654
Hf Fe Ag
1 1 3
direct
0.0000 0.0000 0.0000 Hf
0.5000 0.5000 0.5000 Fe
0.0000 0.0000 0.5000 Ag
0.0000 0.5000 0.0000 Ag
0.5000 0.0000 0.0000 Ag


Entry 14:
HfFe3Ag, optimized geometry, DFT PBE-GGA; ΔE_f = 1.468 eV per atom; spin magnetization = 1.15 μB/atom; excess energy over the best structure of this formula in the dataset = 0.000 eV/atom; calculated total energy = -6.171 eV/atom; density of states at the Fermi level = 6.251 states/eV per cell
1.0
4.5669 0.0000 0.0000
0.0000 4.5669 0.0000
0.0000 0.0000 4.5669
Hf Fe Ag
1 3 1
direct
0.0000 0.0000 0.0000 Hf
0.0000 0.0000 0.5000 Fe
0.0000 0.5000 0.0000 Fe
0.5000 0.0000 0.0000 Fe
0.5000 0.5000 0.5000 Ag


Entry 15:
Hf3FeAg, optimized geometry, DFT PBE-GGA; ΔE_f = 0.301 eV per atom; spin magnetization = 0.00 μB/atom; excess energy over the best structure of this formula in the dataset = 0.000 eV/atom; calculated total energy = -7.934 eV/atom; density of states at the Fermi level = 9.042 states/eV per cell
1.0
4.7619 0.0000 0.0000
0.0000 4.7619 0.0000
0.0000 0.0000 4.7619
Hf Fe Ag
3 1 1
direct
0.0000 0.0000 0.5000 Hf
0.0000 0.5000 0.0000 Hf
0.5000 0.0000 0.0000 Hf
0.0000 0.0000 0.0000 Fe
0.5000 0.5000 0.5000 Ag


Entry 16:
HfFe3Ag, optimized geometry, DFT PBE-GGA; ΔE_f = 1.922 eV per atom; spin magnetization = 0.07 μB/atom; excess energy over the best structure of this formula in the dataset = 0.454 eV/atom; calculated total energy = -5.717 eV/atom; density of states at the Fermi level = 20.523 states/eV per cell
1.0
4.4973 0.0000 0.0000
0.0000 4.4973 0.0000
0.0000 0.0000 4.4973
Hf Fe Ag
1 3 1
direct
0.0000 0.0000 0.0000 Hf
0.0000 0.5000 0.5000 Fe
0.5000 0.0000 0.5000 Fe
0.5000 0.5000 0.0000 Fe
0.5000 0.5000 0.5000 Ag


Entry 17:
HfFeAg3, optimized geometry, DFT PBE-GGA; ΔE_f = 1.022 eV per atom; spin magnetization = 0.47 μB/atom; excess energy over the best structure of this formula in the dataset = 0.000 eV/atom; calculated total energy = -4.372 eV/atom; density of states at the Fermi level = 5.634 states/eV per cell
1.0
4.7368 0.0000 0.0000
0.0000 4.7368 0.0000
0.0000 0.0000 4.7368
Hf Fe Ag
1 1 3
direct
0.0000 0.0000 0.0000 Hf
0.5000 0.5000 0.5000 Fe
0.0000 0.5000 0.5000 Ag
0.5000 0.0000 0.5000 Ag
0.5000 0.5000 0.0000 Ag


Entry 18:
HfFeAg2, optimized geometry, DFT PBE-GGA; ΔE_f = 0.433 eV per atom; spin magnetization = 0.34 μB/atom; excess energy over the best structure of this formula in the dataset = 0.000 eV/atom; calculated total energy = -5.597 eV/atom; density of states at the Fermi level = 23.668 states/eV per cell
1.0
3.7688 0.0000 0.0000
0.0000 3.7688 0.0000
0.0000 0.0000 20.3384
Hf Fe Ag
4 4 8
direct
0.0000 0.0000 0.0000 Hf
0.0000 0.5000 0.2500 Hf
0.5000 0.0000 0.7500 Hf
0.5000 0.5000 0.5000 Hf
0.0000 0.0000 0.5000 Fe
0.0000 0.5000 0.7500 Fe
0.5000 0.0000 0.2500 Fe
0.5000 0.5000 0.0000 Fe
0.2412 0.2500 0.6250 Ag
0.2500 0.7412 0.8750 Ag
0.2500 0.7588 0.3750 Ag
0.2588 0.2500 0.1250 Ag
0.7412 0.7500 0.1250 Ag
0.7500 0.2412 0.3750 Ag
0.7500 0.2588 0.8750 Ag
0.7588 0.7500 0.6250 Ag


Entry 19:
Hf5Fe4Ag, optimized geometry, DFT PBE-GGA; ΔE_f = -0.250 eV per atom; spin magnetization = 0.07 μB/atom; calculated total energy = -8.897 eV/atom; density of states at the Fermi level = 6.913 states/eV per cell
1.0
3.1325 0.0000 0.0000
0.0000 3.1325 0.0000
0.0000 0.0000 16.6827
Hf Fe Ag
5 4 1
direct
0.0000 0.0000 0.0000 Hf
0.0000 0.0000 0.1883 Hf
0.0000 0.0000 0.3757 Hf
0.0000 0.0000 0.6243 Hf
0.0000 0.0000 0.8117 Hf
0.5000 0.5000 0.0942 Fe
0.5000 0.5000 0.2845 Fe
0.5000 0.5000 0.7155 Fe
0.5000 0.5000 0.9058 Fe
0.5000 0.5000 0.5000 Ag


Entry 20:
Hf2MnFeAg, optimized geometry, DFT PBE-GGA; ΔE_f = 0.447 eV per atom; spin magnetization = 0.38 μB/atom; calculated total energy = -7.631 eV/atom; density of states at the Fermi level = 6.173 states/eV per cell
1.0
4.7983 0.0000 0.0000
0.0000 4.7983 0.0000
0.0000 0.0000 4.2061
Hf Mn Fe Ag
2 1 1 1
direct
0.0000 0.5000 0.0000 Hf
0.5000 0.0000 0.0000 Hf
0.0000 0.0000 0.5000 Mn
0.0000 0.0000 0.0000 Fe
0.5000 0.5000 0.5000 Ag